CoSn4Au: optimized geometry, PBE.

Cell: 4.5057 4.5057 6.7474 Å, 90.00 90.00 90.00°
Fractional positions:
Co1 0.0013 0.9973 0.4981
Sn1 0.5012 0.9971 0.2701
Sn2 0.5014 0.9975 0.7262
Sn3 0.0014 0.4975 0.7262
Sn4 0.0012 0.4971 0.2701
Au1 0.5013 0.4973 0.9981

Values from the calculation:
Calculated density in Mg/m³: 8.858
Symmetry: P4/mmm
Calculated formation energy in kJ per mole of atoms: -7.8
N(E_F) in states/eV/f.u.: 3.015
Electronic total energy in Ry/atom: -0.3293